Crystalline CsRbCrO4 at its relaxed geometry, computed with PBE with a Hubbard U.

a = 6.2538 Å, b = 6.3698 Å, c = 8.4574 Å
α = 90.00°, β = 108.72°, γ = 90.00°
Last column: nearest neighbours and their distance in Å.
Element x y z (fractional)
O 0.9484 0.4629 0.7657  1 Cr 1.67
O 0.0516 0.5371 0.2343  1 Cr 1.67
O 0.5885 0.2500 0.8055  1 Cr 1.67
O 0.0516 0.9629 0.2343  1 Cr 1.67
O 0.4115 0.7500 0.1945  1 Cr 1.67
O 0.9484 0.0371 0.7657  1 Cr 1.67
O 0.6644 0.2500 0.5039  1 Cr 1.67
O 0.3356 0.7500 0.4961  1 Cr 1.67
Cs 0.6743 0.7500 0.9269  7 O 3.11-3.34
Cs 0.3257 0.2500 0.0731  7 O 3.11-3.34
Rb 0.8020 0.7500 0.4854  4 O 2.86-2.95
Rb 0.1980 0.2500 0.5146  4 O 2.86-2.95
Cr 0.7859 0.2500 0.7112  4 O 1.67
Cr 0.2141 0.7500 0.2888  4 O 1.67

Properties
**DFT total energy**: -81.787 eV/cell
**Space-group type**: No. 11